*P*
Compound: AcMgBi
Source: Alexandria
Functional: PBE
Structure: relaxed

Calculated values
crystal system	tetragonal

Cell: 4.0438 4.0438 12.0089 Å, 90.00 90.00 90.00°
Space group I4mm (No. 107)
One atom of each set of equivalent atoms:
Ac1 0.0000 0.0000 0.0000
Mg1 0.0000 0.0000 0.6908
Bi1 0.0000 0.0000 0.3053

---

*Q*
Compound: AcMgBi
Source: Alexandria
Functional: PBE
Structure: relaxed

Calculated values
crystal system	hexagonal

Cell: 5.0213 5.0213 4.4782 Å, 90.00 90.00 120.00°
Space group P-6m2 (No. 187)
One atom of each set of equivalent atoms:
Ac1 0.0000 0.0000 0.0000
Mg1 0.3333 0.6667 0.5000
Bi1 0.6667 0.3333 0.5000

---

Result of the stability comparison: *Q* is the most stable of them.